[1]
Sc2CuBr, relaxed, DFT PBE; total DFT energy (no corrections) = -4.794 eV per atom; polymorph energy (0 for the lowest one) = 0.331 eV per atom; formation energy (no corrections) = -0.186 eV per atom; V = 174.5 Å³/cell
1.0
-3.5703 3.5703 3.4224
3.5703 -3.5703 3.4224
3.5703 3.5703 -3.4224
Sc Cu Br
4 2 2
Cartesian
1.7852 1.6828 -0.8556 Sc
1.8875 -1.7852 4.2780 Sc
1.7852 1.8875 2.5668 Sc
1.6828 5.3555 0.8556 Sc
0.0000 0.0000 0.0000 Cu
0.0000 3.5703 1.7112 Cu
3.5703 0.0000 1.7112 Br
0.0000 0.0000 3.4224 Br



[2]
ScCu2Br, relaxed, DFT PBE; total DFT energy (no corrections) = -4.157 eV per atom; polymorph energy (0 for the lowest one) = 0.224 eV per atom; formation energy (no corrections) = -0.108 eV per atom; V = 76.3 Å³/cell
1.0
2.5893 -4.2157 0.0000
2.5893 4.2157 0.0000
0.0000 0.0000 3.4960
Sc Cu Br
1 2 1
Cartesian
0.0000 0.0000 0.0000 Sc
2.5893 2.0722 1.7480 Cu
2.5893 -2.0722 1.7480 Cu
2.5893 0.0000 0.0000 Br



[3]
ScCu2Br, relaxed, DFT PBE; total DFT energy (no corrections) = -4.030 eV per atom; polymorph energy (0 for the lowest one) = 0.352 eV per atom; formation energy (no corrections) = 0.019 eV per atom; V = 70.5 Å³/cell
1.0
0.0000 3.2787 3.2787
3.2787 0.0000 3.2787
3.2787 3.2787 0.0000
Sc Cu Br
1 2 1
Cartesian
0.0000 0.0000 0.0000 Sc
1.6394 1.6394 1.6394 Cu
3.2787 3.2787 3.2787 Cu
4.9181 4.9181 4.9181 Br



[4]
Sc2CuBr, relaxed, DFT PBE; total DFT energy (no corrections) = -4.888 eV per atom; polymorph energy (0 for the lowest one) = 0.238 eV per atom; formation energy (no corrections) = -0.280 eV per atom; V = 77.5 Å³/cell
1.0
3.2161 -3.7679 0.0000
3.2161 3.7679 0.0000
-0.0232 0.0000 3.1970
Sc Cu Br
2 1 1
Cartesian
1.6080 1.8840 0.0000 Sc
1.6080 -1.8840 0.0000 Sc
-0.0116 0.0000 1.5985 Cu
3.2044 0.0000 1.5985 Br



[5]
ScCuBr4, relaxed, DFT PBE; total DFT energy (no corrections) = -2.300 eV per atom; formation energy (no corrections) = 0.554 eV per atom; V = 162.9 Å³/cell
1.0
0.0000 4.3345 4.3345
4.3345 0.0000 4.3345
4.3345 4.3345 0.0000
Sc Cu Br
1 1 4
Cartesian
0.0000 0.0000 0.0000 Sc
2.1672 2.1672 2.1672 Cu
5.4154 3.2536 3.2536 Br
3.2536 5.4154 3.2536 Br
3.2536 3.2536 5.4154 Br
5.4154 5.4154 5.4154 Br



[6]
ScCu2Br, relaxed, DFT PBE; total DFT energy (no corrections) = -4.048 eV per atom; polymorph energy (0 for the lowest one) = 0.334 eV per atom; formation energy (no corrections) = 0.001 eV per atom; V = 79.5 Å³/cell
1.0
1.7464 1.0083 7.5273
-1.7464 1.0083 7.5273
0.0000 -2.0165 7.5273
Sc Cu Br
1 2 1
Cartesian
0.0000 0.0000 0.0000 Sc
0.0000 0.0000 5.6464 Cu
0.0000 0.0000 16.9356 Cu
0.0000 0.0000 11.2910 Br



Q: The highest V belongs to which entry?
A: number 1